[1]
Here is a relaxed structure of CaAlZn3Ag from Alexandria via LeMat-Bulk. Energies are from PBE.

POSCAR file:
```
CaAlZn3Ag
1.0
-4.048 -0.423 -3.984
3.413 -4.423 -2.999
-4.705 -2.507 5.046
Zn Ag Ca Al
6 2 2 2
Direct
0.000 0.305 0.000 Zn
0.500 0.305 0.000 Zn
0.250 0.137 0.275 Zn
0.750 0.863 0.725 Zn
0.000 0.695 0.000 Zn
0.500 0.695 0.000 Zn
0.750 0.658 0.317 Ag
0.250 0.342 0.683 Ag
0.750 0.294 0.587 Ca
0.250 0.706 0.413 Ca
0.750 0.068 0.137 Al
0.250 0.932 0.863 Al
```

symmetry: Cmcm, No. 63
total DFT energy (no corrections): -2.128 eV per atom
total magnetization: 0.00 Bohr magnetons per cell
calculated volume: 239.1 Å³/cell
energy of formation from the pure elements: -0.0580 eV/atom



[2]
Here is a relaxed structure of Ca2AlZn2Ag5 from Alexandria via LeMat-Bulk. Energies are from PBE.

POSCAR file:
```
Ca2AlZn2Ag5
1.0
3.820 0.000 0.000
0.000 10.278 0.000
0.000 0.000 10.278
Zn Ag Ca Al
4 10 4 2
Direct
0.000 0.377 0.123 Zn
0.000 0.877 0.377 Zn
0.000 0.123 0.623 Zn
0.000 0.623 0.877 Zn
0.500 0.059 0.804 Ag
0.500 0.804 0.941 Ag
0.500 0.441 0.304 Ag
0.500 0.500 0.000 Ag
0.500 0.000 0.500 Ag
0.500 0.304 0.559 Ag
0.500 0.696 0.441 Ag
0.500 0.559 0.696 Ag
0.500 0.196 0.059 Ag
0.500 0.941 0.196 Ag
0.000 0.824 0.676 Ca
0.000 0.676 0.176 Ca
0.000 0.176 0.324 Ca
0.000 0.324 0.824 Ca
0.000 0.500 0.500 Al
0.000 0.000 0.000 Al
```

symmetry: P4/mbm, No. 127
total DFT energy (no corrections): -2.630 eV per atom
total magnetization: 0.00 Bohr magnetons per cell
calculated volume: 403.5 Å³/cell
energy of formation from the pure elements: -0.1753 eV/atom



[3]
Here is a relaxed structure of CaAl2Zn2Ag from Alexandria via LeMat-Bulk. Energies are from PBE.

POSCAR file:
```
CaAl2Zn2Ag
1.0
-3.378 0.858 2.653
2.664 -3.367 0.865
4.108 4.242 3.860
Zn Ag Al Ca
2 1 2 1
Direct
0.667 0.333 0.728 Zn
0.333 0.667 0.272 Zn
0.000 0.000 0.500 Ag
0.667 0.333 0.314 Al
0.333 0.667 0.686 Al
0.000 0.000 0.000 Ca
```

symmetry: P-3m1, No. 164
total DFT energy (no corrections): -2.648 eV per atom
total magnetization: 0.00 Bohr magnetons per cell
calculated volume: 117.2 Å³/cell
energy of formation from the pure elements: -0.1670 eV/atom



[4]
Here is a relaxed structure of CaAl2Zn4Ag from Alexandria via LeMat-Bulk. Energies are from PBE.

POSCAR file:
```
CaAl2Zn4Ag
1.0
4.357 0.000 0.000
2.179 3.774 0.000
2.179 1.258 9.081
Zn Ag Ca Al
4 1 1 2
Direct
0.126 0.126 0.622 Zn
0.600 0.600 0.199 Zn
0.874 0.874 0.378 Zn
0.400 0.400 0.801 Zn
0.500 0.500 0.500 Ag
0.000 0.000 0.000 Ca
0.246 0.246 0.262 Al
0.754 0.754 0.738 Al
```

symmetry: R-3m, No. 166
total DFT energy (no corrections): -2.259 eV per atom
total magnetization: 0.00 Bohr magnetons per cell
calculated volume: 149.3 Å³/cell
energy of formation from the pure elements: -0.0797 eV/atom